# 1
A relaxed TlSiTc2 crystal, computed with PBE.

Properties
The symmetry is R3m (160). The value obtained for the magnetic moment is 0.000 μB/f.u. Its energy above the most stable polymorph in this dataset is 0.190 eV/atom.

a = 9.042 Å, b = 9.042 Å, c = 9.042 Å
α = 18.95°, β = 18.95°, γ = 18.95°
Element x y z (fractional)
Tl (0.000, 0.000, 0.000)
Si (0.764, 0.764, 0.764)
Tc (0.241, 0.241, 0.241)
Tc (0.500, 0.500, 0.500)

=====

# 2
A relaxed LiDyPu2O8 crystal, computed with PBE.

Properties
The symmetry is I-4m2 (119). The value obtained for the magnetic moment is 3.996 μB/f.u. For the total energy, the calculation gives -101.37 eV for the cell shown.

a = 6.275 Å, b = 6.275 Å, c = 6.275 Å
α = 109.27°, β = 109.27°, γ = 109.87°
Element x y z (fractional)
Li (0.000, 0.000, 0.000)
Dy (0.250, 0.750, 0.500)
Pu (0.500, 0.500, 0.000)
Pu (0.750, 0.250, 0.500)
O (0.309, 0.117, 0.807)
O (0.309, 0.502, 0.193)
O (0.369, 0.045, 0.323)
O (0.498, 0.691, 0.807)
O (0.722, 0.045, 0.677)
O (0.883, 0.691, 0.193)
O (0.955, 0.278, 0.323)
O (0.955, 0.631, 0.677)

=====

# 3
A relaxed Cu3Ge5Cl12 crystal, computed with PBE.

Properties
The symmetry is Ia-3d (230). The value obtained for the magnetic moment is 0.000 μB/f.u. For the total energy, the calculation gives -254.13 eV for the cell shown.

a = 13.860 Å, b = 13.860 Å, c = 13.860 Å
α = 109.47°, β = 109.47°, γ = 109.47°
Element x y z (fractional)
Cu (0.125, 0.250, 0.375)
Cu (0.125, 0.375, 0.750)
Cu (0.250, 0.375, 0.125)
Cu (0.250, 0.875, 0.625)
Cu (0.375, 0.125, 0.250)
Cu (0.375, 0.750, 0.125)
Cu (0.625, 0.250, 0.875)
Cu (0.625, 0.875, 0.750)
Cu (0.750, 0.125, 0.375)
Cu (0.750, 0.625, 0.875)
Cu (0.875, 0.625, 0.250)
Cu (0.875, 0.750, 0.625)
Ge (0.000, 0.000, 0.000)
Ge (0.000, 0.000, 0.500)
Ge (0.000, 0.500, 0.000)
Ge (0.000, 0.500, 0.500)
Ge (0.125, 0.750, 0.875)
Ge (0.125, 0.875, 0.250)
Ge (0.250, 0.125, 0.875)
Ge (0.250, 0.625, 0.375)
Ge (0.375, 0.250, 0.625)
Ge (0.375, 0.625, 0.750)
Ge (0.500, 0.000, 0.000)
Ge (0.500, 0.000, 0.500)
Ge (0.500, 0.500, 0.000)
Ge (0.500, 0.500, 0.500)
Ge (0.625, 0.375, 0.250)
Ge (0.625, 0.750, 0.375)
Ge (0.750, 0.375, 0.625)
Ge (0.750, 0.875, 0.125)
Ge (0.875, 0.125, 0.750)
Ge (0.875, 0.250, 0.125)
Cl (0.051, 0.226, 0.118)
Cl (0.051, 0.325, 0.933)
Cl (0.067, 0.618, 0.392)
Cl (0.067, 0.949, 0.675)
Cl (0.108, 0.726, 0.675)
Cl (0.108, 0.882, 0.433)
Cl (0.118, 0.051, 0.226)
Cl (0.118, 0.567, 0.892)
Cl (0.175, 0.226, 0.608)
Cl (0.175, 0.449, 0.567)
Cl (0.226, 0.118, 0.051)
Cl (0.226, 0.608, 0.175)
Cl (0.274, 0.325, 0.892)
Cl (0.274, 0.449, 0.382)
Cl (0.325, 0.892, 0.274)
Cl (0.325, 0.933, 0.051)
Cl (0.382, 0.274, 0.449)
Cl (0.382, 0.608, 0.933)
Cl (0.392, 0.067, 0.618)
Cl (0.392, 0.825, 0.774)
Cl (0.433, 0.108, 0.882)
Cl (0.433, 0.825, 0.551)
Cl (0.449, 0.382, 0.274)
Cl (0.449, 0.567, 0.175)
Cl (0.551, 0.433, 0.825)
Cl (0.551, 0.618, 0.726)
Cl (0.567, 0.175, 0.449)
Cl (0.567, 0.892, 0.118)
Cl (0.608, 0.175, 0.226)
Cl (0.608, 0.933, 0.382)
Cl (0.618, 0.392, 0.067)
Cl (0.618, 0.726, 0.551)
Cl (0.675, 0.067, 0.949)
Cl (0.675, 0.108, 0.726)
Cl (0.726, 0.551, 0.618)
Cl (0.726, 0.675, 0.108)
Cl (0.774, 0.392, 0.825)
Cl (0.774, 0.882, 0.949)
Cl (0.825, 0.551, 0.433)
Cl (0.825, 0.774, 0.392)
Cl (0.882, 0.433, 0.108)
Cl (0.882, 0.949, 0.774)
Cl (0.892, 0.118, 0.567)
Cl (0.892, 0.274, 0.325)
Cl (0.933, 0.051, 0.325)
Cl (0.933, 0.382, 0.608)
Cl (0.949, 0.675, 0.067)
Cl (0.949, 0.774, 0.882)

=====

# 4
A relaxed BeSiAs2Se crystal, computed with PBE.

Properties
The symmetry is P4/mmm (123). The value obtained for the magnetic moment is 0.000 μB/f.u. Its energy above the most stable polymorph in this dataset is 0.375 eV/atom.

a = 4.771 Å, b = 4.771 Å, c = 4.773 Å
α = 90.00°, β = 90.00°, γ = 90.00°
Element x y z (fractional)
Be (0.000, 0.000, 0.000)
Si (0.500, 0.500, 0.500)
As (0.000, 0.500, 0.500)
As (0.500, 0.000, 0.500)
Se (0.500, 0.500, 0.000)

=====

# 5
A relaxed Pm2Dy4Er crystal, computed with PBE.

Properties
The symmetry is P2_1/m (11). The value obtained for the magnetic moment is 0.000 μB/f.u. Its energy above the most stable polymorph in this dataset is 0.000 eV/atom.

a = 6.088 Å, b = 6.613 Å, c = 11.576 Å
α = 90.00°, β = 103.94°, γ = 90.00°
Element x y z (fractional)
Pm (0.101, 0.250, 0.495)
Pm (0.211, 0.250, 0.070)
Pm (0.789, 0.750, 0.930)
Pm (0.899, 0.750, 0.505)
Dy (0.148, 0.006, 0.788)
Dy (0.148, 0.494, 0.788)
Dy (0.351, 0.750, 0.058)
Dy (0.482, 0.750, 0.647)
Dy (0.518, 0.250, 0.353)
Dy (0.649, 0.250, 0.942)
Dy (0.852, 0.506, 0.212)
Dy (0.852, 0.994, 0.212)
Er (0.353, 0.750, 0.344)
Er (0.647, 0.250, 0.656)

=====

# 6
A relaxed PmAlIn2Pd4 crystal, computed with PBE.

Properties
The symmetry is R-3m (166). The value obtained for the magnetic moment is 0.000 μB/f.u. For the total energy, the calculation gives -40.25 eV for the cell shown.

a = 8.758 Å, b = 8.758 Å, c = 8.758 Å
α = 30.35°, β = 30.35°, γ = 30.35°
Element x y z (fractional)
Pm (0.000, 0.000, 0.000)
Al (0.500, 0.500, 0.500)
In (0.246, 0.246, 0.246)
In (0.754, 0.754, 0.754)
Pd (0.134, 0.134, 0.134)
Pd (0.400, 0.400, 0.400)
Pd (0.600, 0.600, 0.600)
Pd (0.866, 0.866, 0.866)

=====

# 7
A relaxed MnNiSb4 crystal, computed with PBE.

Properties
The symmetry is F-43m (216). The value obtained for the magnetic moment is 4.210 μB/f.u. Its energy above the most stable polymorph in this dataset is 0.914 eV/atom.

a = 6.085 Å, b = 6.085 Å, c = 6.085 Å
α = 60.00°, β = 60.00°, γ = 60.00°
Element x y z (fractional)
Mn (0.000, 0.000, 0.000)
Ni (0.750, 0.750, 0.750)
Sb (0.375, 0.375, 0.375)
Sb (0.375, 0.375, 0.874)
Sb (0.375, 0.874, 0.375)
Sb (0.874, 0.375, 0.375)

=====

# 8
A relaxed MnAl crystal, computed with PBE.

Properties
The symmetry is Pnma (62). The value obtained for the magnetic moment is 2.565 μB/f.u. For the total energy, the calculation gives -53.22 eV for the cell shown.

a = 4.854 Å, b = 4.302 Å, c = 5.175 Å
α = 90.00°, β = 90.00°, γ = 90.00°
Element x y z (fractional)
Mn (0.104, 0.250, 0.125)
Mn (0.396, 0.750, 0.625)
Mn (0.604, 0.250, 0.375)
Mn (0.896, 0.750, 0.875)
Al (0.102, 0.250, 0.624)
Al (0.398, 0.750, 0.124)
Al (0.602, 0.250, 0.876)
Al (0.898, 0.750, 0.376)